VASP calculation (PBE) on LiPm2B3Pt12 after structural relaxation.

Cell and atoms, written as CIF:
```
data_LiPm2B3Pt12
_cell_length_a 7.9770
_cell_length_b 7.9770
_cell_length_c 16.8707
_cell_angle_alpha 90.00
_cell_angle_beta 90.00
_cell_angle_gamma 120.00
_symmetry_space_group_name_H-M 'R -3 m'
_symmetry_Int_Tables_number 166
_symmetry_space_group_name_Hall '-R 3 2"'
loop_
_atom_site_label
_atom_site_type_symbol
_atom_site_fract_x
_atom_site_fract_y
_atom_site_fract_z
Li1 Li 0.0000 0.0000 0.0000
Pm1 Pm 0.0000 0.0000 0.3905
B1 B 0.0000 0.5000 0.5000
Pt1 Pt 0.0055 0.5028 0.6236
Pt2 Pt 0.0566 0.5283 0.8535
```


VASP calculation (PBE) on LiPmB2Pt7 after structural relaxation.

Cell and atoms, written as CIF:
```
data_LiPmB2Pt7
_cell_length_a 4.4338
_cell_length_b 4.4338
_cell_length_c 17.1591
_cell_angle_alpha 90.00
_cell_angle_beta 90.00
_cell_angle_gamma 90.00
_symmetry_space_group_name_H-M 'I -4 m 2'
_symmetry_Int_Tables_number 119
_symmetry_space_group_name_Hall 'I -4 -2'
loop_
_atom_site_label
_atom_site_type_symbol
_atom_site_fract_x
_atom_site_fract_y
_atom_site_fract_z
Li1 Li 0.0000 0.0000 0.0000
Pm1 Pm 0.0000 0.5000 0.7500
B1 B 0.0000 0.5000 0.1206
Pt1 Pt 0.0000 0.0000 0.1415
Pt2 Pt 0.0000 0.0000 0.3936
Pt3 Pt 0.0000 0.5000 0.0001
Pt4 Pt 0.0000 0.5000 0.2500
```


For each record above, in turn, the calculated energy of formation from the pure elements values are -459; -301 meV/atom.